Material: Y2HfF
Method: DFT, PBE
State: relaxed

Cell lengths 7.1879, 7.1879, 6.3502 Å; angles 55.53, 55.53, 90.00 degrees
Closest atoms and distances in Å follow each position.
Atoms (fractional coordinates):
F: 0.5000 0.5000 0.0000  4 Y 2.27
F: 0.2500 0.7500 0.5000  4 Y 2.27
Y: 0.3750 0.4832 0.7500  2 F 2.27
Y: 0.8750 0.7668 0.7500  2 F 2.27
Y: 0.2332 0.6250 0.2500  2 F 2.27
Y: 0.5168 0.1250 0.2500  2 F 2.27
Hf: 0.7500 0.2500 0.5000  8 Y 3.28-3.52
Hf: 0.0000 0.0000 0.0000  8 Y 3.28-3.52

Results
raw formation energy	-0.859	eV per atom
symmetry	No. 122
distance to the lowest polymorph of the same formula	0	meV/atom